[1]
Here is a relaxed structure of Sn2IrSe from OQMD. Energies are from PBE.

a b c (Å): 3.712 3.956 12.259
angles (deg): 90.00 95.22 90.00
Space group P2_1/m (No. 11)
Asymmetric unit:
Sn1 0.035 0.250 0.109 (multiplicity 2)
Sn2 0.408 0.250 0.693 (multiplicity 2)
Ir1 0.472 0.250 0.912 (multiplicity 2)
Se1 0.124 0.250 0.385 (multiplicity 2)

Summary:
* total magnetization: 0.01 μB/f.u.
* total energy: -5.31 eV per atom
* volume: 22.41 Å³ per atom


[2]
Here is a relaxed structure of Na2Nb2Ni3 from OQMD. Energies are from PBE.

a b c (Å): 4.3204 4.3204 20.8692
angles (deg): 90.00 90.00 120.00
Space group R3m (No. 160, hexagonal axes)
Asymmetric unit:
Na1 0.0000 0.0000 0.0000 (multiplicity 3)
Na2 0.0000 0.0000 0.4892 (multiplicity 3)
Nb1 0.0000 0.0000 0.2421 (multiplicity 3)
Nb2 0.0000 0.0000 0.7439 (multiplicity 3)
Ni1 0.0000 0.0000 0.3646 (multiplicity 3)
Ni2 0.0000 0.0000 0.6192 (multiplicity 3)
Ni3 0.0000 0.0000 0.8724 (multiplicity 3)

Summary:
* total magnetization: 0.10 μB/f.u.
* total energy: -5.06 eV per atom
* volume: 16.06 Å³ per atom


[3]
Here is a relaxed structure of TmMgCdAg from OQMD. Energies are from PBE.

a b c (Å): 7.025 7.025 7.025
angles (deg): 90.00 90.00 90.00
Space group F-43m (No. 216)
Asymmetric unit:
Tm1 0.000 0.000 0.000 (multiplicity 4)
Mg1 0.000 0.000 0.500 (multiplicity 4)
Cd1 0.250 0.250 0.750 (multiplicity 4)
Ag1 0.250 0.250 0.250 (multiplicity 4)

Summary:
* total magnetization: 0.00 μB/f.u.
* total energy: -2.73 eV per atom
* volume: 21.67 Å³ per atom


[4]
Here is a relaxed structure of Hf2Pd2O5 from OQMD. Energies are from PBE.

a b c (Å): 4.025 4.025 6.459
angles (deg): 90.00 90.00 90.00
Space group P4/mmm (No. 123)
Asymmetric unit:
Hf1 0.000 0.000 0.000 (multiplicity 1)
Hf2 0.000 0.000 0.500 (multiplicity 1)
Pd1 0.500 0.500 0.189 (multiplicity 2)
O1 0.000 0.500 0.225 (multiplicity 4)
O2 0.500 0.500 0.500 (multiplicity 1)

Summary:
* total magnetization: 0.01 μB/f.u.
* ΔE to the lowest computed polymorph: 940 meV per atom
* total energy: -7.07 eV per atom
* volume: 11.63 Å³ per atom


[5]
Here is a relaxed structure of Nd2YBi3 from OQMD. Energies are from PBE.

a b c (Å): 4.5373 4.5373 11.1438
angles (deg): 90.00 90.00 120.00
Space group P-3m1 (No. 164)
Asymmetric unit:
Nd1 0.3333 0.6667 0.3296 (multiplicity 2)
Y1 0.0000 0.0000 0.0000 (multiplicity 1)
Bi1 0.0000 0.0000 0.5000 (multiplicity 1)
Bi2 0.3333 0.6667 0.8400 (multiplicity 2)

Summary:
* total magnetization: 0.00 μB/f.u.
* total energy: -5.63 eV per atom
* volume: 33.11 Å³ per atom


[6]
Here is a relaxed structure of Tm4TlInC2 from OQMD. Energies are from PBE.

a b c (Å): 3.5518 3.5518 16.1178
angles (deg): 90.00 90.00 120.00
Space group P-6m2 (No. 187)
Asymmetric unit:
Tm1 0.0000 0.0000 0.1681 (multiplicity 2)
Tm2 0.3333 0.6667 0.3319 (multiplicity 2)
Tl1 0.3333 0.6667 0.0000 (multiplicity 1)
In1 0.0000 0.0000 0.5000 (multiplicity 1)
C1 0.6667 0.3333 0.2499 (multiplicity 2)

Summary:
* total magnetization: 0.06 μB/f.u.
* total energy: -5.61 eV per atom
* volume: 22.01 Å³ per atom


[7]
Here is a relaxed structure of NaGe2PdO6 from OQMD. Energies are from PBE.

a b c (Å): 10.034 8.929 5.581
angles (deg): 90.00 106.66 90.00
Space group C2/c (No. 15)
Asymmetric unit:
Na1 0.000 0.201 0.250 (multiplicity 4)
Ge1 0.206 0.091 0.756 (multiplicity 8)
Pd1 0.000 0.406 0.750 (multiplicity 4)
O1 0.109 0.420 0.142 (multiplicity 8)
O2 0.132 0.028 0.992 (multiplicity 8)
O3 0.144 0.270 0.659 (multiplicity 8)

Summary:
* total energy: -5.86 eV per atom
* volume: 11.98 Å³ per atom


[8]
Here is a relaxed structure of PrSmGeBr2 from OQMD. Energies are from PBE.

a b c (Å): 4.2886 4.2886 10.2673
angles (deg): 90.00 90.00 120.00
Space group P3m1 (No. 156)
Asymmetric unit:
Pr1 0.0000 0.0000 0.0000 (multiplicity 1)
Sm1 0.3333 0.6667 0.6740 (multiplicity 1)
Ge1 0.6667 0.3333 0.8338 (multiplicity 1)
Br1 0.0000 0.0000 0.5041 (multiplicity 1)
Br2 0.3333 0.6667 0.1774 (multiplicity 1)

Summary:
* total magnetization: 0.01 μB/f.u.
* total energy: -4.95 eV per atom
* volume: 32.71 Å³ per atom


[9]
Here is a relaxed structure of ZnH12C4N5Cl3 from OQMD. Energies are from PBE.

a b c (Å): 12.273 7.410 12.925
angles (deg): 90.00 112.88 90.00
Space group P2_1/c (No. 14)
Asymmetric unit:
Zn1 0.216 0.138 0.205 (multiplicity 4)
H1 0.035 0.239 0.369 (multiplicity 4)
H2 0.081 0.561 0.873 (multiplicity 4)
H3 0.114 0.123 0.982 (multiplicity 4)
H4 0.157 0.671 0.002 (multiplicity 4)
H5 0.161 0.509 0.258 (multiplicity 4)
H6 0.222 0.722 0.315 (multiplicity 4)
H7 0.271 0.520 0.397 (multiplicity 4)
H8 0.370 0.053 0.541 (multiplicity 4)
H9 0.446 0.717 0.799 (multiplicity 4)
H10 0.453 0.601 0.142 (multiplicity 4)
H11 0.456 0.655 0.419 (multiplicity 4)
H12 0.481 0.067 0.173 (multiplicity 4)
C1 0.143 0.107 0.510 (multiplicity 4)
C2 0.241 0.578 0.312 (multiplicity 4)
C3 0.310 0.013 0.667 (multiplicity 4)
C4 0.445 0.646 0.331 (multiplicity 4)
N1 0.084 0.250 0.453 (multiplicity 4)
N2 0.126 0.554 0.958 (multiplicity 4)
N3 0.214 0.125 0.620 (multiplicity 4)
N4 0.333 0.558 0.268 (multiplicity 4)
N5 0.386 0.510 0.116 (multiplicity 4)
Cl1 0.033 0.098 0.201 (multiplicity 4)
Cl2 0.257 0.578 0.599 (multiplicity 4)
Cl3 0.365 0.155 0.377 (multiplicity 4)

Summary:
* total energy: -5.41 eV per atom
* volume: 10.83 Å³ per atom


[10]
Here is a relaxed structure of Pr2Zn3Ag from OQMD. Energies are from PBE.

a b c (Å): 10.686 4.667 7.262
angles (deg): 90.00 131.87 90.00
Space group Cm (No. 8)
Asymmetric unit:
Pr1 0.000 0.000 0.000 (multiplicity 2)
Pr2 0.053 0.000 0.558 (multiplicity 2)
Zn1 0.186 0.500 0.394 (multiplicity 2)
Zn2 0.200 0.500 0.998 (multiplicity 2)
Zn3 0.359 0.000 0.153 (multiplicity 2)
Ag1 0.362 0.000 0.574 (multiplicity 2)

Summary:
* total magnetization: 0.03 μB/f.u.
* energy relative to the elements: -0.337 eV/atom
* total energy: -3.03 eV per atom
* volume: 22.47 Å³ per atom


[11]
Here is a relaxed structure of LiGdTeO from OQMD. Energies are from PBE.

a b c (Å): 4.072 4.072 9.368
angles (deg): 90.00 90.00 90.00
Space group P4/nmm (No. 129, origin choice 2)
Asymmetric unit:
Li1 0.250 0.750 0.000 (multiplicity 2)
Gd1 0.250 0.250 0.386 (multiplicity 2)
Te1 0.250 0.250 0.811 (multiplicity 2)
O1 0.250 0.750 0.500 (multiplicity 2)

Summary:
* total magnetization: 0.00 μB/f.u.
* ΔE to the lowest computed polymorph: 0 meV per atom
* total energy: -5.87 eV per atom
* volume: 19.42 Å³ per atom


[12]
Here is a relaxed structure of TaCoBAu from OQMD. Energies are from PBE.

a b c (Å): 6.006 6.006 6.006
angles (deg): 90.00 90.00 90.00
Space group F-43m (No. 216)
Asymmetric unit:
Ta1 0.000 0.000 0.000 (multiplicity 4)
Co1 0.000 0.000 0.500 (multiplicity 4)
B1 0.250 0.250 0.250 (multiplicity 4)
Au1 0.250 0.250 0.750 (multiplicity 4)

Summary:
* total magnetization: 0.43 μB/f.u.
* ΔE to the lowest computed polymorph: 90 meV per atom
* total energy: -6.73 eV per atom
* volume: 13.54 Å³ per atom